# 1
! HfIn2Ru GGA-PBE relaxed; values from VASP
&SYSTEM
  ibrav = 0, nat = 8, ntyp = 3
/
ATOMIC_SPECIES
Ru 101.07 Ru.upf
Hf 178.49 Hf.upf
In 114.82 In.upf
ATOMIC_POSITIONS crystal
Ru 0.500 0.500 0.000
Ru 0.250 0.750 0.500
Hf 0.000 0.000 0.000
Hf 0.750 0.250 0.500
In 0.592 0.125 0.250
In 0.158 0.625 0.250
In 0.375 0.408 0.750
In 0.875 0.842 0.750
CELL_PARAMETERS angstrom
-1.943 6.426 4.002
-7.539 -2.022 -0.414
-4.493 0.789 4.183
! - symmetry = No. 122
! - ΔE_f (eV/atom) = 0.289


# 2
! Ba3GaSb3 GGA-PBE relaxed; values from VASP
&SYSTEM
  ibrav = 0, nat = 56, ntyp = 3
/
ATOMIC_SPECIES
Ba 137.33 Ba.upf
Ga 69.72 Ga.upf
Sb 121.76 Sb.upf
ATOMIC_POSITIONS crystal
Ba 0.824 0.984 0.750
Ba 0.324 0.516 0.250
Ba 0.676 0.484 0.750
Ba 0.176 0.016 0.250
Ba 0.200 0.265 0.750
Ba 0.700 0.235 0.250
Ba 0.300 0.765 0.750
Ba 0.800 0.735 0.250
Ba 0.196 0.738 0.076
Ba 0.696 0.762 0.924
Ba 0.304 0.238 0.424
Ba 0.804 0.262 0.576
Ba 0.804 0.262 0.924
Ba 0.304 0.238 0.076
Ba 0.696 0.762 0.576
Ba 0.196 0.738 0.424
Ba 0.770 0.009 0.076
Ba 0.270 0.491 0.924
Ba 0.730 0.509 0.424
Ba 0.230 0.991 0.576
Ba 0.230 0.991 0.924
Ba 0.730 0.509 0.076
Ba 0.270 0.491 0.576
Ba 0.770 0.009 0.424
Ga 0.515 0.127 0.837
Ga 0.015 0.373 0.163
Ga 0.485 0.873 0.337
Ga 0.515 0.127 0.663
Ga 0.015 0.373 0.337
Ga 0.985 0.627 0.837
Ga 0.485 0.873 0.163
Ga 0.985 0.627 0.663
Sb 0.800 0.258 0.090
Sb 0.268 0.988 0.410
Sb 0.732 0.012 0.910
Sb 0.232 0.488 0.090
Sb 0.232 0.488 0.410
Sb 0.732 0.012 0.590
Sb 0.268 0.988 0.090
Sb 0.768 0.512 0.590
Sb 0.320 0.019 0.750
Sb 0.820 0.481 0.250
Sb 0.180 0.519 0.750
Sb 0.680 0.981 0.250
Sb 0.709 0.233 0.750
Sb 0.209 0.267 0.250
Sb 0.791 0.733 0.750
Sb 0.291 0.767 0.250
Sb 0.300 0.242 0.910
Sb 0.700 0.758 0.410
Sb 0.200 0.742 0.590
Sb 0.200 0.742 0.910
Sb 0.800 0.258 0.410
Sb 0.300 0.242 0.590
Sb 0.768 0.512 0.910
Sb 0.700 0.758 0.090
CELL_PARAMETERS angstrom
7.238 0.000 0.000
0.000 14.285 0.000
0.000 0.000 21.444
! - symmetry = No. 62
! - formation energy from raw total energies (eV/f.u.) = -6.34


# 3
! Rb3Tb3UO8 GGA-PBE relaxed; values from VASP
&SYSTEM
  ibrav = 0, nat = 15, ntyp = 4
/
ATOMIC_SPECIES
Rb 85.47 Rb.upf
Tb 158.93 Tb.upf
U 238.03 U.upf
O 16.00 O.upf
ATOMIC_POSITIONS crystal
Rb 0.000 0.000 0.000
Rb 0.000 0.500 0.000
Rb 0.500 0.500 0.000
Tb 0.500 0.000 0.500
Tb 0.500 0.500 0.500
Tb 0.000 0.500 0.500
U 0.000 0.000 0.500
O 0.277 0.553 0.330
O 0.723 0.447 0.670
O 0.784 0.567 0.334
O 0.216 0.433 0.666
O 0.784 0.050 0.334
O 0.216 0.950 0.666
O 0.267 0.050 0.334
O 0.733 0.950 0.666
CELL_PARAMETERS angstrom
7.045 0.000 0.000
-3.522 6.101 -0.022
0.000 -4.044 6.682
! - symmetry = No. 166
! - formation energy from raw total energies (eV/f.u.) = -41.79


Total magnetic moment, record by record: 0.0 0.0 2.0 μB per formula unit